Entry from OQMD: crystalline Li3NiPt2 at its relaxed geometry (PBE-GGA).

Lattice parameters (Å, degrees): 2.7029 2.7029 12.5051 90.00 90.00 120.00
Space group P-3m1 (No. 164)
Asymmetric unit:
1 Li 0.0000 0.0000 0.0000
2 Li 0.3333 0.6667 0.6590
3 Ni 0.0000 0.0000 0.5000
4 Pt 0.3333 0.6667 0.1699

Output
The value obtained for the total energy is -25.72 eV for the cell shown. The total magnetization is 0.047 μB per formula unit.

---

Entry from OQMD: crystalline TePd at its relaxed geometry (PBE-GGA).

Lattice parameters (Å, degrees): 4.002 4.002 6.775 90.00 90.00 90.00
Space group P4_2/mmc (No. 131)
Asymmetric unit:
1 Te 0.000 0.000 0.250
2 Pd 0.000 0.500 0.000

Output
The value obtained for the total energy is -17.74 eV for the cell shown.

---

Entry from OQMD: crystalline SmZnRe at its relaxed geometry (PBE-GGA).

Lattice parameters (Å, degrees): 6.699 6.699 6.699 90.00 90.00 90.00
Space group F-43m (No. 216)
Asymmetric unit:
1 Sm 0.000 0.000 0.000
2 Zn 0.250 0.250 0.250
3 Re 0.250 0.250 0.750

Output
The value obtained for the relative energy among the computed polymorphs is 0.6542 eV per atom. The value obtained for the total energy is -57.51 eV for the cell shown. The total magnetization is 1.988 μB per formula unit. For the formation energy, the calculation gives 129.3 kJ per mole of atoms.

---

Entry from OQMD: crystalline PmErMg2 at its relaxed geometry (PBE-GGA).

Lattice parameters (Å, degrees): 7.614 7.614 7.614 90.00 90.00 90.00
Space group Fm-3m (No. 225)
Asymmetric unit:
1 Pm 0.000 0.000 0.000
2 Er 0.000 0.000 0.500
3 Mg 0.250 0.250 0.250

Output
The value obtained for the total energy is -51.02 eV for the cell shown. The total magnetization is 0.013 μB per formula unit.

---

Entry from OQMD: crystalline YAlCoIr at its relaxed geometry (PBE-GGA).

Lattice parameters (Å, degrees): 6.490 6.490 6.490 90.00 90.00 90.00
Space group F-43m (No. 216)
Asymmetric unit:
1 Y 0.000 0.000 0.000
2 Al 0.250 0.250 0.250
3 Co 0.000 0.000 0.500
4 Ir 0.250 0.250 0.750

Output
The value obtained for the relative energy among the computed polymorphs is 0.4576 eV per atom. The value obtained for the total energy is -105.10 eV for the cell shown. The total magnetization is 2.036 μB per formula unit.

---

Entry from OQMD: crystalline PrDyGa2Pd4 at its relaxed geometry (PBE-GGA).

Lattice parameters (Å, degrees): 4.4366 4.4366 9.2396 90.00 90.00 120.00
Space group P-6m2 (No. 187)
Asymmetric unit:
1 Pr 0.0000 0.0000 0.0000
2 Dy 0.3333 0.6667 0.5000
3 Ga 0.6667 0.3333 0.2565
4 Pd 0.0000 0.0000 0.3360
5 Pd 0.3333 0.6667 0.1822

Output
The value obtained for the total energy is -43.02 eV for the cell shown. The total magnetization is 0.001 μB per formula unit.

---

Entry from OQMD: crystalline AlCuF4 at its relaxed geometry (PBE-GGA).

Lattice parameters (Å, degrees): 3.951 3.951 9.631 90.00 90.00 90.00
Space group P-42c (No. 112)
Asymmetric unit:
1 Al 0.000 0.500 0.250
2 Cu 0.000 0.000 0.000
3 F 0.256 0.262 0.352

Output
The value obtained for the total energy is -59.17 eV for the cell shown.

---

Entry from OQMD: crystalline Zr4Sb3 at its relaxed geometry (PBE-GGA).

Lattice parameters (Å, degrees): 8.4364 8.4364 5.6623 90.00 90.00 120.00
Space group P6_3/m (No. 176)
Asymmetric unit:
1 Zr 0.0979 0.4437 0.2500
2 Zr 0.3333 0.6667 0.7500
3 Sb 0.0509 0.2951 0.7500

Output
The value obtained for the relative energy among the computed polymorphs is 0.0000 eV per atom. The value obtained for the total energy is -99.29 eV for the cell shown. The total magnetization is 0.002 μB per formula unit.

---

Entry from OQMD: crystalline ScSnAuSe3 at its relaxed geometry (PBE-GGA).

Lattice parameters (Å, degrees): 17.813 3.901 8.372 90.00 101.19 90.00
Space group C2/m (No. 12)
Asymmetric unit:
1 Sc 0.165 0.000 0.094
2 Sn 0.130 0.000 0.585
3 Au 0.047 0.500 0.218
4 Se 0.000 0.000 0.000
5 Se 0.000 0.500 0.500
6 Se 0.176 0.500 0.868
7 Se 0.193 0.500 0.332

Output
The value obtained for the relative energy among the computed polymorphs is 0.1032 eV per atom. The value obtained for the total energy is -114.30 eV for the cell shown. The total magnetization is 0.000 μB per formula unit.

---

Entry from OQMD: crystalline LaOsPb2O6 at its relaxed geometry (PBE-GGA).

Lattice parameters (Å, degrees): 10.074 5.909 6.100 90.00 123.96 90.00
Space group C2/m (No. 12)
Asymmetric unit:
1 La 0.000 0.000 0.000
2 Os 0.000 0.500 0.500
3 Pb 0.243 0.000 0.712
4 O 0.061 0.266 0.338
5 O 0.221 0.500 0.811

Output
The value obtained for the total energy is -139.01 eV for the cell shown. The total magnetization is 2.814 μB per formula unit.

---

Entry from OQMD: crystalline Pm7AsI12 at its relaxed geometry (PBE-GGA).

Lattice parameters (Å, degrees): 16.0533 16.0533 10.6179 90.00 90.00 120.00
Space group R-3 (No. 148, hexagonal axes)
Asymmetric unit:
1 Pm 0.0000 0.0000 0.0000
2 Pm 0.0457 0.1622 0.3505
3 As 0.0000 0.0000 0.5000
4 I 0.0225 0.5869 0.1651
5 I 0.0516 0.1833 0.8373

Output
The value obtained for the total energy is -251.43 eV for the cell shown. The total magnetization is 0.006 μB per formula unit.

---

Entry from OQMD: crystalline CuH6C6IN at its relaxed geometry (PBE-GGA).

Lattice parameters (Å, degrees): 4.116 9.017 10.225 101.67 96.24 98.25
Space group P-1 (No. 2)
Asymmetric unit:
1 Cu 0.250 0.020 0.415
2 H 0.017 0.469 0.661
3 H 0.116 0.334 0.469
4 H 0.134 0.627 0.128
5 H 0.179 0.227 0.983
6 H 0.276 0.469 0.913
7 H 0.305 0.046 0.127
8 C 0.019 0.484 0.926
9 C 0.052 0.424 0.288
10 C 0.066 0.396 0.149
11 C 0.125 0.316 0.361
12 C 0.159 0.257 0.090
13 C 0.231 0.155 0.170
14 I 0.342 0.164 0.672
15 N 0.213 0.181 0.304

Output
The value obtained for the total energy is -180.10 eV for the cell shown.

---

Number 6 is which compound? PrDyGa2Pd4